A geometry-optimized CdAgN2O structure, computed with GGA-PBEsol.

Values from the calculation:
The raw formation energy comes out at 1753.4 meV/atom.

a b c (Å): 4.1936 4.1936 4.1795
angles (deg): 90.00 90.00 90.00
Space group P4/mmm (No. 123)
Asymmetric unit:
Cd (0.0000, 0.0000, 0.0000)
Ag (0.5000, 0.5000, 0.5000)
N (0.0000, 0.5000, 0.0000)
O (0.0000, 0.0000, 0.5000)


A geometry-optimized HgP2BrCl structure, computed with GGA-PBEsol.

Values from the calculation:
The raw formation energy comes out at 936.8 meV/atom.

a b c (Å): 5.0159 5.0159 5.0187
angles (deg): 90.00 90.00 90.00
Space group P4/mmm (No. 123)
Asymmetric unit:
Hg (0.0000, 0.0000, 0.0000)
P (0.0000, 0.5000, 0.0000)
Br (0.5000, 0.5000, 0.5000)
Cl (0.0000, 0.0000, 0.5000)


A geometry-optimized ZrSnHgPd2 structure, computed with GGA-PBEsol.

Values from the calculation:
Its total energy is -4.535 eV per atom.

a b c (Å): 4.8461 4.8461 5.3804
angles (deg): 90.00 90.00 90.00
Space group P4/mmm (No. 123)
Asymmetric unit:
Zr (0.0000, 0.0000, 0.0000)
Sn (0.5000, 0.5000, 0.5000)
Hg (0.0000, 0.0000, 0.5000)
Pd (0.0000, 0.5000, 0.0000)


A geometry-optimized BeNbH2 structure, computed with GGA-PBEsol.

Values from the calculation:
Its total energy is -5.263 eV per atom.

a b c (Å): 3.8087 3.8087 9.0407
angles (deg): 90.00 90.00 90.00
Space group I-42d (No. 122)
Asymmetric unit:
Be (0.0000, 0.0000, 0.0000)
Nb (0.0000, 0.0000, 0.5000)
H (0.1810, 0.2500, 0.1250)


A geometry-optimized YScTl2 structure, computed with GGA-PBEsol.

Values from the calculation:
Its total energy is -5.055 eV per atom.

a b c (Å): 5.1177 5.1177 3.6958
angles (deg): 90.00 90.00 90.00
Space group P4/mmm (No. 123)
Asymmetric unit:
Y (0.0000, 0.0000, 0.0000)
Sc (0.5000, 0.5000, 0.0000)
Tl (0.0000, 0.5000, 0.5000)


A geometry-optimized CaTl2Cl structure, computed with GGA-PBEsol.

Values from the calculation:
The raw formation energy comes out at -690.0 meV/atom.

a b c (Å): 5.8532 6.2218 12.2812
angles (deg): 90.00 90.00 90.00
Space group Fmmm (No. 69)
Asymmetric unit:
Ca (0.0000, 0.0000, 0.0000)
Tl (0.0000, 0.2500, 0.2500)
Cl (0.0000, 0.0000, 0.5000)


A geometry-optimized CaNbGa2Pt structure, computed with GGA-PBEsol.

Values from the calculation:
Its total energy is -5.233 eV per atom.

a b c (Å): 4.9796 4.9796 4.8387
angles (deg): 90.00 90.00 90.00
Space group P4/mmm (No. 123)
Asymmetric unit:
Ca (0.0000, 0.0000, 0.0000)
Nb (0.5000, 0.5000, 0.5000)
Ga (0.0000, 0.5000, 0.5000)
Pt (0.5000, 0.5000, 0.0000)


A geometry-optimized Sr3GdRhO6 structure, computed with GGA-PBEsol.

Values from the calculation:
The raw formation energy comes out at -2584.5 meV/atom.

a b c (Å): 9.7267 9.7267 11.3396
angles (deg): 90.00 90.00 120.00
Space group R-3c (No. 167, hexagonal axes)
Asymmetric unit:
Sr (0.0000, 0.3692, 0.2500)
Gd (0.0000, 0.0000, 0.2500)
Rh (0.0000, 0.0000, 0.0000)
O (0.0230, 0.1806, 0.3899)


A geometry-optimized ReTeRh2 structure, computed with GGA-PBEsol.

Values from the calculation:
The raw formation energy comes out at 255.3 meV/atom.

a b c (Å): 8.8502 2.9081 4.9674
angles (deg): 90.00 101.08 90.00
Space group Cm (No. 8)
Asymmetric unit:
Re (0.0000, 0.0000, 0.0000)
Te (0.2497, 0.5000, 0.3101)
Rh (0.0014, 0.5000, 0.5500)
Rh (0.2564, 0.0000, 0.8040)


A geometry-optimized Pt2RhCl structure, computed with GGA-PBEsol.

Values from the calculation:
The raw formation energy comes out at 211.3 meV/atom.

a b c (Å): 2.7872 3.3619 6.7338
angles (deg): 90.00 90.00 90.00
Space group Pmm2 (No. 25)
Asymmetric unit:
Pt (0.0000, 0.0000, 0.0000)
Pt (0.5000, 0.5000, 0.2329)
Rh (0.5000, 0.5000, 0.7788)
Cl (0.5000, 0.0000, 0.5249)


A geometry-optimized Cu2OsSe structure, computed with GGA-PBEsol.

Values from the calculation:
The raw formation energy comes out at 335.5 meV/atom.

a b c (Å): 3.0439 3.0439 5.7798
angles (deg): 90.00 90.00 90.00
Space group P4mm (No. 99)
Asymmetric unit:
Cu (0.0000, 0.0000, 0.0000)
Cu (0.5000, 0.5000, 0.2015)
Os (0.0000, 0.0000, 0.4731)
Se (0.5000, 0.5000, 0.7105)


A geometry-optimized CuRh structure, computed with GGA-PBEsol.

Values from the calculation:
Its total energy is -6.161 eV per atom.

a b c (Å): 2.6287 2.6287 8.4547
angles (deg): 90.00 90.00 120.00
Space group P-3m1 (No. 164)
Asymmetric unit:
Cu (0.3333, 0.6667, 0.3817)
Rh (0.3333, 0.6667, 0.8717)